14
Lattice="1.959 -6.492 0.000 1.959 6.492 0.000 0.000 0.000 13.249" Properties=species:S:1:pos:R:3 comment="LaDy2S4 (PBE, optimized geometry)" raw_formation_energy_ev_per_fu=-14.90 pbc="T T T"
La 1.959 4.914 9.936
La 1.959 -4.914 3.312
Dy 1.959 1.693 7.503
Dy 1.959 1.693 12.370
Dy 1.959 -1.693 0.879
Dy 1.959 -1.693 5.745
S 0.000 0.000 0.000
S 0.000 0.000 6.624
S 1.959 2.965 1.578
S 1.959 2.965 5.046
S 1.959 0.538 9.936
S 1.959 -0.538 3.312
S 1.959 -2.965 8.202
S 1.959 -2.965 11.671